PBE-GGA LaCo2Os, optimized geometry; energy above the most stable polymorph in this dataset = 0.456 eV per atom; space-group type = Cmmm (65); energy of formation from the pure elements = 0.4287 eV per atom
1.0
6.555 0.012 0.034
-2.654 3.869 -0.021
1.247 0.869 2.441
Co La Os
2 1 1
Cartesian
0.000 0.000 0.000 Co
3.901 0.441 1.238 Co
-0.704 2.369 1.210 La
1.951 1.940 0.006 Os

***

PBE-GGA InNiAs2, optimized geometry; space-group type = I-42d (122); energy of formation from the pure elements = -0.0394 eV per atom
1.0
5.648 0.000 0.000
0.000 5.648 0.000
2.824 2.824 5.926
Ni As In
2 4 2
Cartesian
2.824 2.824 0.000 Ni
2.824 5.648 2.963 Ni
3.846 1.412 1.482 As
1.803 4.236 1.482 As
4.236 4.627 4.445 As
7.060 6.670 4.445 As
0.000 0.000 0.000 In
5.648 2.824 2.963 In

***

PBE-GGA HfTaPb2C, optimized geometry; space-group type = P4/mmm (123); energy of formation from the pure elements = 2.3913 eV per atom
1.0
-2.538 -3.204 -3.839
4.441 -1.939 -1.317
-0.642 -4.061 3.814
Pb C Hf Ta
2 1 1 1
Cartesian
-0.321 -2.030 1.907 Pb
-1.269 -1.602 -1.919 Pb
0.631 -4.602 -0.671 C
0.000 0.000 0.000 Hf
2.220 -0.969 -0.659 Ta

***

PBE-GGA Al4GaAg8, optimized geometry; space-group type = Pm (6); energy of formation from the pure elements = -0.0468 eV per atom
1.0
4.658 0.000 0.323
0.000 2.997 0.000
1.225 0.000 16.137
Al Ga Ag
4 1 8
Cartesian
4.440 0.000 1.694 Al
1.512 1.499 10.173 Al
1.834 1.499 5.534 Al
3.550 0.000 14.457 Al
4.104 0.000 6.603 Ga
1.677 0.000 7.821 Ag
1.172 1.499 15.047 Ag
2.164 1.499 0.740 Ag
3.893 0.000 9.598 Ag
4.269 1.499 4.150 Ag
1.342 0.000 12.564 Ag
1.995 0.000 3.199 Ag
3.716 1.499 12.069 Ag

***

PBE-GGA TlFeN2, optimized geometry; energy above the most stable polymorph in this dataset = 1.284 eV per atom; space-group type = Fm-3m (225); ΔE_f (raw) = 6.64 eV per formula unit
1.0
0.000 2.833 2.833
2.833 0.000 2.833
2.833 2.833 0.000
Tl Fe N
1 1 2
Cartesian
2.833 2.833 2.833 Tl
0.000 0.000 0.000 Fe
1.417 1.417 1.417 N
4.250 4.250 4.250 N

***

PBE-GGA HfZn10Cu2, optimized geometry; space-group type = Fmmm (69); energy of formation from the pure elements = -0.0987 eV per atom
1.0
5.080 0.000 0.000
2.540 6.105 0.000
2.540 0.000 6.159
Hf Zn Cu
1 10 2
Cartesian
0.000 0.000 0.000 Hf
5.080 3.945 4.064 Zn
5.080 2.160 2.095 Zn
7.620 2.160 4.064 Zn
2.540 3.945 2.095 Zn
1.270 0.000 3.079 Zn
3.810 0.000 3.079 Zn
2.540 1.314 1.286 Zn
7.620 4.791 4.873 Zn
5.080 4.791 1.286 Zn
5.080 1.314 4.873 Zn
1.270 3.053 0.000 Cu
3.810 3.053 0.000 Cu

***

PBE-GGA ReAgTe2, optimized geometry; energy above the most stable polymorph in this dataset = 0.214 eV per atom; space-group type = P4mm (99); ΔE_f (raw) = 2.12 eV per formula unit
1.0
3.547 0.000 0.000
0.000 3.549 0.000
0.000 0.000 7.484
Re Te Ag
1 2 1
Cartesian
1.773 1.775 5.458 Re
0.000 0.000 6.764 Te
1.773 1.775 2.613 Te
0.000 0.000 3.874 Ag

***

PBE-GGA TaTl2W, optimized geometry; energy above the most stable polymorph in this dataset = 0.353 eV per atom; space-group type = Cmmm (65); energy of formation from the pure elements = 0.8680 eV per atom
1.0
-0.614 -1.559 -2.570
2.879 0.206 1.041
-1.358 -8.392 5.413
Ta Tl W
1 2 1
Cartesian
0.114 -6.971 3.295 Ta
-0.004 -0.027 0.018 Tl
-0.674 -4.169 2.689 Tl
0.793 -2.774 0.589 W

***

Number 1: N(E_F) 4.78 states/eV/cell. Number 2: N(E_F) 5.06 states/eV/cell. Number 3: N(E_F) 5.40 states/eV/cell. Number 4: N(E_F) 4.12 states/eV/cell. Number 5: N(E_F) 1.61 states/eV/cell. Number 6: N(E_F) 5.68 states/eV/cell. Number 7: N(E_F) 3.52 states/eV/cell. Number 8: N(E_F) 2.43 states/eV/cell.